Entry 1:
Material: TaCoCl2
Method: DFT, PBE
State: relaxed

Geometry as extended XYZ:
```
4
Lattice="-0.161 -1.443 2.784 0.519 -2.898 -1.472 8.205 -0.436 0.249" Properties=species:S:1:pos:R:3 pbc="T T T"
Cl 7.987 -2.892 -1.036
Cl 2.995 -1.240 1.301
Co 4.685 -1.804 -0.664
Ta 5.984 -3.842 0.125
```

Properties
energy: -6.181 eV per atom
D(E_F): 0.8 states/eV/cell
raw formation energy: -0.52 eV/atom

---

Entry 2:
Material: TaCo2Cl
Method: DFT, PBE
State: relaxed

Geometry as extended XYZ:
```
4
Lattice="-2.257 -1.335 1.292 0.442 -3.414 -2.756 2.767 -1.933 2.838" Properties=species:S:1:pos:R:3 pbc="T T T"
Cl 0.255 -1.634 2.065
Co 0.000 0.000 0.000
Co 1.605 -2.673 0.041
Ta -0.908 -2.375 -0.732
```

Properties
energy: -6.294 eV per atom
D(E_F): 5.4 states/eV/cell
raw formation energy: 0.68 eV/atom

---

Entry 3:
Material: Ta2CoCl
Method: DFT, PBE
State: relaxed

Geometry as extended XYZ:
```
4
Lattice="8.706 0.011 0.007 8.214 2.887 0.007 8.214 1.407 2.521" Properties=species:S:1:pos:R:3 pbc="T T T"
Cl 18.850 3.229 1.901
Co 6.283 1.076 0.634
Ta 25.063 4.293 2.527
Ta 12.637 2.164 1.274
```

Properties
energy: -7.961 eV per atom
D(E_F): 5.7 states/eV/cell
raw formation energy: 0.20 eV/atom

---

Entry 4:
Material: Ta2CoCl
Method: DFT, PBE
State: relaxed

Geometry as extended XYZ:
```
4
Lattice="5.454 0.003 0.000 3.060 4.514 0.000 -4.257 -2.259 2.553" Properties=species:S:1:pos:R:3 pbc="T T T"
Cl 4.257 2.259 0.000
Co 2.727 0.002 1.277
Ta 0.000 0.000 0.000
Ta 1.530 2.257 1.277
```

Properties
energy: -7.504 eV per atom
D(E_F): 5.1 states/eV/cell
raw formation energy: 0.66 eV/atom

---

Entry 5:
Material: TaCo2Cl
Method: DFT, PBE
State: relaxed

Geometry as extended XYZ:
```
4
Lattice="3.645 -0.116 -0.084 2.244 2.875 -0.084 0.607 0.284 6.586" Properties=species:S:1:pos:R:3 pbc="T T T"
Cl 0.731 0.342 1.758
Co 1.141 0.534 6.005
Co 5.164 2.419 4.789
Ta 3.314 1.553 3.661
```

Properties
energy: -6.823 eV per atom
D(E_F): 5.4 states/eV/cell
raw formation energy: 0.15 eV/atom

---

Entry 6:
Material: TaCo3Cl
Method: DFT, PBE
State: relaxed

Geometry as extended XYZ:
```
5
Lattice="4.090 0.000 0.000 0.000 4.090 0.000 0.000 0.000 4.090" Properties=species:S:1:pos:R:3 pbc="T T T"
Cl 0.000 0.000 0.000
Co 0.000 2.045 0.000
Co 0.000 0.000 2.045
Co 2.045 0.000 0.000
Ta 2.045 2.045 2.045
```

Properties
energy: -6.159 eV per atom
D(E_F): 6.2 states/eV/cell
raw formation energy: 0.84 eV/atom

---

Entry 7:
Material: Ta4CoCl
Method: DFT, PBE
State: relaxed

Geometry as extended XYZ:
```
6
Lattice="0.000 3.860 3.860 3.860 0.000 3.860 3.860 3.860 0.000" Properties=species:S:1:pos:R:3 pbc="T T T"
Ta 2.882 2.882 4.837
Ta 2.882 4.837 2.882
Ta 4.837 4.837 4.837
Ta 4.837 2.882 2.882
Co 0.000 0.000 0.000
Cl 1.930 1.930 1.930
```

Properties
energy: -8.380 eV per atom
D(E_F): 7.1 states/eV/cell
raw formation energy: 1.01 eV/atom

---

Entry 8:
Material: TaCo2Cl
Method: DFT, PBE
State: relaxed

Geometry as extended XYZ:
```
4
Lattice="-0.758 -2.481 1.558 1.167 -1.732 -2.191 6.802 0.132 3.519" Properties=species:S:1:pos:R:3 pbc="T T T"
Cl 4.832 -2.017 2.077
Co 0.825 0.016 0.427
Co 1.879 -2.074 0.550
Ta 3.077 0.060 1.592
```

Properties
energy: -6.837 eV per atom
D(E_F): 4.0 states/eV/cell
raw formation energy: 0.14 eV/atom

---

Entry 9:
Material: Ta2CoCl
Method: DFT, PBE
State: relaxed

Geometry as extended XYZ:
```
4
Lattice="4.522 0.000 0.000 2.261 3.916 0.000 2.261 1.305 3.692" Properties=species:S:1:pos:R:3 pbc="T T T"
Cl 4.522 2.611 1.846
Co 6.783 3.916 2.769
Ta 0.000 0.000 0.000
Ta 2.261 1.305 0.923
```

Properties
energy: -7.184 eV per atom
D(E_F): 3.4 states/eV/cell
raw formation energy: 0.98 eV/atom

---

Entry 10:
Material: TaCo2Cl
Method: DFT, PBE
State: relaxed

Geometry as extended XYZ:
```
4
Lattice="4.912 0.051 0.000 2.235 4.374 0.000 -3.574 -2.213 2.542" Properties=species:S:1:pos:R:3 pbc="T T T"
Cl 2.456 0.026 1.271
Co 0.000 0.000 0.000
Co 1.118 2.187 1.271
Ta 3.574 2.213 0.000
```

Properties
energy: -6.342 eV per atom
D(E_F): 4.4 states/eV/cell
raw formation energy: 0.64 eV/atom

---

Entry 11:
Material: TaCoCl2
Method: DFT, PBE
State: relaxed

Geometry as extended XYZ:
```
4
Lattice="-7.807 -3.289 -1.277 -6.678 -5.215 1.268 -8.058 -2.192 1.916" Properties=species:S:1:pos:R:3 pbc="T T T"
Cl -0.623 -0.295 0.053
Cl -4.857 -2.305 0.411
Co -11.017 -5.227 0.932
Ta -17.318 -8.217 1.465
```

Properties
energy: -6.142 eV per atom
raw formation energy: -0.48 eV/atom

---

Entry 12:
Material: TaCo2Cl
Method: DFT, PBE
State: relaxed

Geometry as extended XYZ:
```
4
Lattice="-0.954 -2.462 -1.267 2.602 -1.619 1.187 -3.817 -1.677 6.130" Properties=species:S:1:pos:R:3 pbc="T T T"
Cl -1.236 -3.630 4.598
Co 1.542 -1.399 1.556
Co -0.764 -2.050 1.173
Ta 0.283 -1.947 3.569
```

Properties
energy: -6.933 eV per atom
D(E_F): 3.9 states/eV/cell
raw formation energy: 0.04 eV/atom

---

Entry 13:
Material: TaCoCl2
Method: DFT, PBE
State: relaxed

Geometry as extended XYZ:
```
4
Lattice="4.487 0.000 0.000 2.244 3.886 0.000 2.244 1.295 3.664" Properties=species:S:1:pos:R:3 pbc="T T T"
Cl 0.000 0.000 0.000
Cl 2.244 1.295 0.916
Co 4.487 2.591 1.832
Ta 6.731 3.886 2.748
```

Properties
energy: -5.040 eV per atom
D(E_F): 2.2 states/eV/cell
raw formation energy: 0.62 eV/atom

---

Entry 14:
Material: TaCoCl2
Method: DFT, PBE
State: relaxed

Geometry as extended XYZ:
```
4
Lattice="-0.521 -3.786 -2.724 3.167 0.498 -3.428 0.598 0.248 4.648" Properties=species:S:1:pos:R:3 pbc="T T T"
Cl 0.000 0.000 0.000
Cl 1.323 -1.644 -3.076
Co 2.544 -0.449 -0.928
Ta 0.700 -2.591 -0.576
```

Properties
energy: -5.082 eV per atom
D(E_F): 5.8 states/eV/cell
raw formation energy: 0.58 eV/atom

---

Entry 15:
Material: TaCoCl2
Method: DFT, PBE
State: relaxed

Geometry as extended XYZ:
```
4
Lattice="-5.324 4.516 -1.929 -4.149 3.658 -4.676 -2.692 -2.998 -0.214" Properties=species:S:1:pos:R:3 pbc="T T T"
Cl -3.711 -1.949 -0.978
Cl -5.063 1.540 -2.646
Co -3.041 1.294 -1.705
Ta -9.124 3.882 -5.114
```

Properties
energy: -5.927 eV per atom
D(E_F): 2.0 states/eV/cell
raw formation energy: -0.26 eV/atom

---

Entry 16:
Material: TaCo2Cl
Method: DFT, PBE
State: relaxed

Geometry as extended XYZ:
```
4
Lattice="-2.464 -3.821 2.038 -2.059 -3.285 -3.130 4.185 2.163 1.625" Properties=species:S:1:pos:R:3 pbc="T T T"
Cl -0.068 -2.337 -1.026
Co -0.076 -0.119 -0.018
Co -2.186 -3.434 -0.528
Ta -0.271 -2.606 1.558
```

Properties
energy: -6.594 eV per atom
D(E_F): 4.0 states/eV/cell
raw formation energy: 0.38 eV/atom

---

Entry 17:
Material: TaCo2Cl
Method: DFT, PBE
State: relaxed

Geometry as extended XYZ:
```
4
Lattice="7.620 -0.007 -0.004 7.003 3.003 -0.004 7.003 1.435 2.638" Properties=species:S:1:pos:R:3 pbc="T T T"
Cl 16.220 3.323 1.972
Co 21.566 4.419 2.622
Co 10.873 2.228 1.322
Ta 5.407 1.108 0.657
```

Properties
energy: -6.796 eV per atom
D(E_F): 4.8 states/eV/cell
raw formation energy: 0.18 eV/atom

---

Entry 18:
Material: Ta2CoCl
Method: DFT, PBE
State: relaxed

Geometry as extended XYZ:
```
4
Lattice="1.326 -3.242 2.688 -1.148 0.059 4.263 -2.925 -2.927 1.539" Properties=species:S:1:pos:R:3 pbc="T T T"
Cl 0.000 0.000 0.000
Co -1.374 -3.055 4.245
Ta -0.687 -1.527 2.122
Ta -2.060 -4.582 6.367
```

Properties
energy: -7.742 eV per atom
D(E_F): 5.8 states/eV/cell
raw formation energy: 0.42 eV/atom

---

Entry 19:
Material: TaCo2Cl
Method: DFT, PBE
State: relaxed

Geometry as extended XYZ:
```
4
Lattice="-1.051 3.228 -3.264 -3.082 1.207 -3.351 -2.211 2.089 3.104" Properties=species:S:1:pos:R:3 pbc="T T T"
Cl -1.586 1.631 -0.878
Co -2.270 2.158 2.877
Co -3.113 3.193 -1.529
Ta -4.759 4.893 -2.633
```

Properties
energy: -6.575 eV per atom
D(E_F): 3.4 states/eV/cell
raw formation energy: 0.40 eV/atom

---

Entry 20:
Material: Ta2CoCl
Method: DFT, PBE
State: relaxed

Geometry as extended XYZ:
```
4
Lattice="2.915 -0.007 0.000 -1.066 2.713 0.000 0.000 0.000 8.873" Properties=species:S:1:pos:R:3 pbc="T T T"
Cl 0.000 0.000 4.224
Co 0.924 1.353 6.938
Ta 0.000 0.000 8.758
Ta 0.924 1.353 2.265
```

Properties
energy: -8.057 eV per atom
D(E_F): 3.7 states/eV/cell
raw formation energy: 0.11 eV/atom